MnIrWF2 | GGA+U | optimized geometry

## Properties
The value obtained for the raw total energy is -5.92 eV/atom. Its density of states at the Fermi level is 2.1 states/eV/f.u.

Cell: 3.7939 3.7939 7.6183 Å, 90.00 90.00 90.00°
Closest atoms and distances in Å follow each position.
Space group P4/mmm (No. 123)
Asymmetric unit:
Mn: 0.0000 0.0000 0.0000 x1  4 F 1.90
Ir: 0.5000 0.5000 0.5000 x1  4 W 2.68
W: 0.0000 0.0000 0.5000 x1  4 Ir 2.68
F: 0.0000 0.5000 0.0000 x2  2 Mn 1.90

***

LiMoAsO6 | GGA+U | optimized geometry

## Properties
The energy above the lowest structure with this stoichiometry comes out at 0 meV/atom. Its density of states at the Fermi level is 0.0 states/eV/f.u.

Cell: 5.2745 8.7187 10.5908 Å, 90.00 95.79 90.00°
Closest atoms and distances in Å follow each position.
Space group P2_1 (No. 4)
Asymmetric unit:
Li: 0.0384 0.0000 0.1304 x2  4 O 1.98-2.05
Li: 0.2756 0.1715 0.3928 x2  4 O 2.00-2.12
Mo: 0.1214 0.8632 0.8421 x2  2 O 1.71-1.77
Mo: 0.3189 0.3441 0.6483 x2  2 O 1.74-1.75
As: 0.1649 0.5753 0.3893 x2  4 O 1.70-1.74
As: 0.3608 0.2167 0.9580 x2  4 O 1.70-1.73
O: 0.0376 0.3978 0.7104 x2  1 Mo 1.75
O: 0.0694 0.2084 0.2205 x2  1 Mo 1.77
O: 0.1121 0.1409 0.5596 x2  1 As 1.71
O: 0.1126 0.5323 0.2282 x2  1 As 1.74
O: 0.1532 0.3560 0.9922 x2  1 As 1.70
O: 0.2323 0.3982 0.4609 x2  1 As 1.74
O: 0.2472 0.0344 0.9828 x2  1 As 1.73
O: 0.3365 0.8879 0.7332 x2  1 Mo 1.71
O: 0.3426 0.7233 0.9563 x2  1 As 1.73
O: 0.4046 0.7025 0.4289 x2  1 As 1.70
O: 0.4409 0.2277 0.8038 x2  1 As 1.73
O: 0.4954 0.0090 0.3278 x2  1 Mo 1.74